A plane-wave DFT calculation with PBE-GGA was carried out for a relaxed structure of BePIN2.

The value obtained for the total moment is 1.6 μB/cell. The energy above the most stable polymorph in this dataset is 547 meV per atom. The value obtained for the calculated total energy is -3.902 eV/atom. Its crystal system is tetragonal. The energy relative to the elements, uncorrected is 1.57 eV per atom.

The space group is P4/mmm (No. 123) and the conventional cell measures 3.616, 3.616 and 7.284 Å, with angles of 90.00, 90.00 and 90.00 degrees. The distinct sites, in fractional coordinates, are Be at (0.000, 0.000, 0.000), P at (0.500, 0.500, 0.500), I at (0.000, 0.000, 0.500) and N at (0.000, 0.500, 0.000).

A plane-wave DFT calculation with PBE-GGA was carried out for a relaxed structure of BePbI2N.

The value obtained for the total moment is 2.4 μB/cell. The energy above the most stable polymorph in this dataset is 979 meV per atom. The value obtained for the calculated total energy is -2.515 eV/atom. Its crystal system is tetragonal. The energy relative to the elements, uncorrected is 1.26 eV per atom.

The space group is P4/mmm (No. 123) and the conventional cell measures 6.275, 6.275 and 4.730 Å, with angles of 90.00, 90.00 and 90.00 degrees. The distinct sites, in fractional coordinates, are Be at (0.000, 0.000, 0.000), Pb at (0.500, 0.500, 0.500), I at (0.000, 0.500, 0.500) and N at (0.500, 0.500, 0.000).

A plane-wave DFT calculation with PBE-GGA was carried out for a relaxed structure of BePbI2N.

The value obtained for the total moment is 1.1 μB/cell. The energy above the most stable polymorph in this dataset is 0 meV per atom. The value obtained for the calculated total energy is -3.494 eV/atom. Its crystal system is tetragonal. The energy relative to the elements, uncorrected is 0.28 eV per atom.

The space group is P4/mmm (No. 123) and the conventional cell measures 6.138, 6.138 and 3.293 Å, with angles of 90.00, 90.00 and 90.00 degrees. The distinct sites, in fractional coordinates, are Be at (0.000, 0.000, 0.000), Pb at (0.500, 0.500, 0.500), I at (0.000, 0.500, 0.000) and N at (0.000, 0.000, 0.500).

A plane-wave DFT calculation with PBE-GGA was carried out for a relaxed structure of BePdI2N.

The value obtained for the total moment is 0.0 μB/cell. The energy above the most stable polymorph in this dataset is 510 meV per atom. The value obtained for the calculated total energy is -3.034 eV/atom. Its crystal system is tetragonal. The energy relative to the elements, uncorrected is 1.04 eV per atom.

The space group is P4/mmm (No. 123) and the conventional cell measures 5.661, 5.661 and 3.759 Å, with angles of 90.00, 90.00 and 90.00 degrees. The distinct sites, in fractional coordinates, are Be at (0.000, 0.000, 0.000), Pd at (0.500, 0.500, 0.500), I at (0.000, 0.500, 0.500) and N at (0.500, 0.500, 0.000).

A plane-wave DFT calculation with PBE-GGA was carried out for a relaxed structure of BePdI2N.

The value obtained for the total moment is 0.0 μB/cell. The energy above the most stable polymorph in this dataset is 0 meV per atom. The value obtained for the calculated total energy is -3.544 eV/atom. Its crystal system is tetragonal. The energy relative to the elements, uncorrected is 0.52 eV per atom.

The space group is P4/mmm (No. 123) and the conventional cell measures 5.599, 5.599 and 3.112 Å, with angles of 90.00, 90.00 and 90.00 degrees. The distinct sites, in fractional coordinates, are Be at (0.000, 0.000, 0.000), Pd at (0.500, 0.500, 0.500), I at (0.000, 0.500, 0.000) and N at (0.000, 0.000, 0.500).

A plane-wave DFT calculation with PBE-GGA was carried out for a relaxed structure of BePdIN2.

The value obtained for the total moment is 1.4 μB/cell. The energy above the most stable polymorph in this dataset is 278 meV per atom. The value obtained for the calculated total energy is -3.875 eV/atom. Its crystal system is tetragonal. The energy relative to the elements, uncorrected is 1.55 eV per atom.

The space group is P4/mmm (No. 123) and the conventional cell measures 3.807, 3.807 and 7.900 Å, with angles of 90.00, 90.00 and 90.00 degrees. The distinct sites, in fractional coordinates, are Be at (0.000, 0.000, 0.000), Pd at (0.500, 0.500, 0.500), I at (0.500, 0.500, 0.000) and N at (0.000, 0.500, 0.500).

A plane-wave DFT calculation with PBE-GGA was carried out for a relaxed structure of BePdIN2.

The value obtained for the total moment is 2.0 μB/cell. The energy above the most stable polymorph in this dataset is 0 meV per atom. The value obtained for the calculated total energy is -4.153 eV/atom. Its crystal system is tetragonal. The energy relative to the elements, uncorrected is 1.27 eV per atom.

The space group is P4/mmm (No. 123) and the conventional cell measures 3.627, 3.627 and 7.246 Å, with angles of 90.00, 90.00 and 90.00 degrees. The distinct sites, in fractional coordinates, are Be at (0.000, 0.000, 0.000), Pd at (0.500, 0.500, 0.500), I at (0.000, 0.000, 0.500) and N at (0.000, 0.500, 0.000).

A plane-wave DFT calculation with PBE-GGA was carried out for a relaxed structure of RbBeIN2.

The value obtained for the total moment is 5.2 μB/cell. The energy above the most stable polymorph in this dataset is 1114 meV per atom. The value obtained for the calculated total energy is -2.305 eV/atom. Its crystal system is tetragonal. The energy relative to the elements, uncorrected is 2.27 eV per atom.

The space group is P4/mmm (No. 123) and the conventional cell measures 5.474, 5.474 and 7.305 Å, with angles of 90.00, 90.00 and 90.00 degrees. The distinct sites, in fractional coordinates, are Rb at (0.000, 0.000, 0.000), Be at (0.500, 0.500, 0.500), I at (0.000, 0.000, 0.500) and N at (0.000, 0.500, 0.000).

A plane-wave DFT calculation with PBE-GGA was carried out for a relaxed structure of RbBeIN2.

The value obtained for the total moment is 4.0 μB/cell. The energy above the most stable polymorph in this dataset is 0 meV per atom. The value obtained for the calculated total energy is -3.419 eV/atom. Its crystal system is tetragonal. The energy relative to the elements, uncorrected is 1.16 eV per atom.

The space group is P4/mmm (No. 123) and the conventional cell measures 4.459, 4.459 and 5.380 Å, with angles of 90.00, 90.00 and 90.00 degrees. The distinct sites, in fractional coordinates, are Rb at (0.000, 0.000, 0.000), Be at (0.500, 0.500, 0.500), I at (0.500, 0.500, 0.000) and N at (0.000, 0.500, 0.500).

A plane-wave DFT calculation with PBE-GGA was carried out for a relaxed structure of BeReIN2.

The value obtained for the total moment is 0.2 μB/cell. The energy above the most stable polymorph in this dataset is 0 meV per atom. The value obtained for the calculated total energy is -6.023 eV/atom. Its crystal system is tetragonal. The energy relative to the elements, uncorrected is 0.85 eV per atom.

The space group is P4/mmm (No. 123) and the conventional cell measures 3.846, 3.846 and 5.825 Å, with angles of 90.00, 90.00 and 90.00 degrees. The distinct sites, in fractional coordinates, are Be at (0.000, 0.000, 0.000), Re at (0.500, 0.500, 0.500), I at (0.500, 0.500, 0.000) and N at (0.000, 0.500, 0.500).

A plane-wave DFT calculation with PBE-GGA was carried out for a relaxed structure of BeReIN2.

The value obtained for the total moment is 0.8 μB/cell. The energy above the most stable polymorph in this dataset is 1228 meV per atom. The value obtained for the calculated total energy is -4.794 eV/atom. Its crystal system is tetragonal. The energy relative to the elements, uncorrected is 2.08 eV per atom.

The space group is P4/mmm (No. 123) and the conventional cell measures 3.741, 3.741 and 4.822 Å, with angles of 90.00, 90.00 and 90.00 degrees. The distinct sites, in fractional coordinates, are Be at (0.000, 0.000, 0.000), Re at (0.500, 0.500, 0.500), I at (0.000, 0.000, 0.500) and N at (0.000, 0.500, 0.000).

A plane-wave DFT calculation with PBE-GGA was carried out for a relaxed structure of BeReI2N.

The value obtained for the total moment is 2.2 μB/cell. The energy above the most stable polymorph in this dataset is 386 meV per atom. The value obtained for the calculated total energy is -4.284 eV/atom. Its crystal system is tetragonal. The energy relative to the elements, uncorrected is 1.24 eV per atom.

The space group is P4/mmm (No. 123) and the conventional cell measures 5.325, 5.325 and 3.155 Å, with angles of 90.00, 90.00 and 90.00 degrees. The distinct sites, in fractional coordinates, are Be at (0.000, 0.000, 0.000), Re at (0.500, 0.500, 0.500), I at (0.000, 0.500, 0.000) and N at (0.000, 0.000, 0.500).